No. 1
Below is an optimized crystal structure of ZnBAsH, with properties calculated at the PBE level.

Values from the calculation:
The density of states at the Fermi level is 0.71 states/eV/f.u. As for the distance to the lowest polymorph of the same formula: 0.000 eV/atom. The crystal system is triclinic.

Cell and atoms, written as CIF:
```
data_ZnBAsH
_chemical_formula_sum 'Zn1 B1 As1 H1'
_cell_length_a 3.432
_cell_length_b 4.279
_cell_length_c 4.698
_cell_angle_alpha 64.51
_cell_angle_beta 76.91
_cell_angle_gamma 88.84
_symmetry_space_group_name_H-M 'P 1'
_symmetry_Int_Tables_number 1
loop_
_symmetry_equiv_pos_as_xyz
'x,y,z'
loop_
_atom_site_label
_atom_site_fract_x
_atom_site_fract_y
_atom_site_fract_z
_atom_site_occupancy
Zn1 0.000 0.000 0.000 1
B1 0.277 0.086 0.505 1
As1 0.828 0.353 0.311 1
H1 0.273 0.779 0.571 1
```

=====

No. 2
Below is an optimized crystal structure of ZnBAsH, with properties calculated at the PBE level.

Values from the calculation:
The density of states at the Fermi level is 1.19 states/eV/f.u. As for the distance to the lowest polymorph of the same formula: 0.022 eV/atom. The crystal system is trigonal.

Cell and atoms, written as CIF:
```
data_ZnBAsH
_chemical_formula_sum 'Zn3 B3 As3 H3'
_cell_length_a 3.3510
_cell_length_b 3.3510
_cell_length_c 16.2058
_cell_angle_alpha 90.00
_cell_angle_beta 90.00
_cell_angle_gamma 120.00
_symmetry_space_group_name_H-M 'R 3 m'
_symmetry_Int_Tables_number 160
_symmetry_space_group_name_Hall 'R 3 -2"'
loop_
_atom_site_label
_atom_site_fract_x
_atom_site_fract_y
_atom_site_fract_z
_atom_site_occupancy
Zn1 0.0000 0.0000 0.0000 1
B1 0.0000 0.0000 0.1363 1
As1 0.0000 0.0000 0.8371 1
H1 0.0000 0.0000 0.3276 1
```

=====

No. 3
Below is an optimized crystal structure of ZnBAsH, with properties calculated at the PBE level.

Values from the calculation:
The density of states at the Fermi level is 0.54 states/eV/f.u. As for the distance to the lowest polymorph of the same formula: 0.081 eV/atom. The crystal system is monoclinic.

Cell and atoms, written as CIF:
```
data_ZnBAsH
_chemical_formula_sum 'Zn2 B2 As2 H2'
_cell_length_a 8.108
_cell_length_b 2.642
_cell_length_c 5.223
_cell_angle_alpha 90.00
_cell_angle_beta 109.56
_cell_angle_gamma 90.00
_symmetry_space_group_name_H-M 'C 1 m 1'
_symmetry_Int_Tables_number 8
loop_
_symmetry_equiv_pos_as_xyz
'x,y,z'
'x,-y,z'
'x+1/2,y+1/2,z'
'x+1/2,-y+1/2,z'
loop_
_atom_site_label
_atom_site_fract_x
_atom_site_fract_y
_atom_site_fract_z
_atom_site_occupancy
Zn1 0.000 0.000 0.000 1
B1 0.032 0.500 0.688 1
As1 0.348 0.000 0.305 1
H1 0.182 0.500 0.693 1
```